Computed, not measured: a relaxed MnNiO2 crystal at the PBE+U level of DFT.

POSCAR file:
```
MnNiO2
1.0
-1.1493 -1.9184 2.1387
2.5588 -1.7310 -0.1776
1.8468 2.4067 3.1512
Ni Mn O
1 1 2
direct
0.0000 0.0000 0.0000 Ni
0.5000 0.5000 0.5000 Mn
0.5000 0.5000 0.0000 O
0.0000 0.0000 0.5000 O
```

## Properties
ΔE to the lowest computed polymorph: 183 meV per atom
crystal system: tetragonal